No. 1
The following is a PBE calculation of a relaxed structure of ZrTa4Be, from Alexandria.

a = 5.4884 Å, b = 5.4884 Å, c = 5.4884 Å
α = 60.00°, β = 60.00°, γ = 60.00°
Element x y z (fractional)
Ta 0.3764 0.3764 0.8707
Ta 0.8707 0.3764 0.3764
Ta 0.3764 0.3764 0.3764
Ta 0.3764 0.8707 0.3764
Zr 0.7500 0.7500 0.7500
Be 0.0000 0.0000 0.0000

## Properties
For the total energy, the calculation gives -56.7 eV for the cell shown.

***

No. 2
The following is a PBE calculation of a relaxed structure of TiNbNi, from Alexandria.

a = 5.9882 Å, b = 3.4794 Å, c = 9.4031 Å
α = 90.00°, β = 110.58°, γ = 90.00°
Element x y z (fractional)
Nb 0.8960 0.0000 0.6313
Nb 0.5388 0.5000 0.4452
Nb 0.8960 0.5000 0.1313
Nb 0.5388 0.0000 0.9452
Ni 0.2195 0.5000 0.7792
Ni 0.0488 0.5000 0.4581
Ni 0.0488 0.0000 0.9581
Ni 0.2195 0.0000 0.2792
Ti 0.3576 0.5000 0.0993
Ti 0.7303 0.5000 0.7957
Ti 0.3576 0.0000 0.5993
Ti 0.7303 0.0000 0.2957

## Properties
For the total energy, the calculation gives -96.4 eV for the cell shown.

***

Result set for V: 19.484 15.284 Å³/atom, one per record in the order listed.
Result set for formation energy from the elements: 48.39 -11.32 kJ/mol of atoms, one per record in the order listed.